NaLa3N after structural relaxation, computed with PBE.

Cell: 5.227 5.227 5.227 Å, 90.00 90.00 90.00°
Positions (direct):
Na 0.000 0.000 0.000
La 0.000 0.500 0.500
La 0.500 0.000 0.500
La 0.500 0.500 0.000
N 0.500 0.500 0.500

Results
Crystal system: cubic
Uncorrected formation energy (meV/atom): -397
Space-group type: Pm-3m
Calculated total energy (eV/cell): -26.41
E above lowest polymorph (eV per atom): 0.000


Sc2Ga3Ag after structural relaxation, computed with PBE.

Cell: 8.839 8.329 5.489 Å, 76.48 66.37 37.14°
Positions (direct):
Sc 0.248 0.752 0.752
Sc 0.250 0.250 0.250
Sc 0.750 0.750 0.750
Sc 0.752 0.248 0.248
Ga 0.168 0.666 0.334
Ga 0.334 0.832 0.168
Ga 0.336 0.336 0.664
Ga 0.664 0.664 0.336
Ga 0.666 0.168 0.832
Ga 0.832 0.334 0.666
Ag 0.168 0.168 0.832
Ag 0.832 0.832 0.168

Results
Crystal system: orthorhombic
Space-group type: Fmmm
Calculated total energy (eV/cell): -55.21


SmEr4Zn5 after structural relaxation, computed with PBE.

Cell: 3.555 3.555 17.832 Å, 90.00 90.00 90.00°
Positions (direct):
Sm 0.000 0.000 0.000
Er 0.000 0.000 0.204
Er 0.000 0.000 0.401
Er 0.000 0.000 0.599
Er 0.000 0.000 0.796
Zn 0.500 0.500 0.108
Zn 0.500 0.500 0.302
Zn 0.500 0.500 0.500
Zn 0.500 0.500 0.698
Zn 0.500 0.500 0.892

Results
Crystal system: tetragonal
Space-group type: P4/mmm
Calculated total energy (eV/cell): -32.73


LaAlF after structural relaxation, computed with PBE.

Cell: 8.016 8.016 4.325 Å, 90.00 90.00 152.31°
Positions (direct):
La 0.146 0.854 0.750
La 0.854 0.146 0.250
Al 0.457 0.543 0.750
Al 0.543 0.457 0.250
F 0.252 0.748 0.250
F 0.748 0.252 0.750

Results
Crystal system: orthorhombic
Uncorrected formation energy (meV/atom): -1969
Space-group type: Cmcm
Calculated total energy (eV/cell): -32.89
E above lowest polymorph (eV per atom): 0.043


SbPSe after structural relaxation, computed with PBE.

Cell: 4.647 4.647 4.647 Å, 60.00 60.00 60.00°
Positions (direct):
Sb 0.000 0.000 0.000
P 0.250 0.250 0.250
Se 0.500 0.500 0.500

Results
Crystal system: cubic
Uncorrected formation energy (meV/atom): 436
Space-group type: F-43m
Calculated total energy (eV/cell): -11.71
E above lowest polymorph (eV per atom): 0.448


Cs3Ac3ScSe8 after structural relaxation, computed with PBE.

Cell: 8.984 8.984 9.992 Å, 116.79 116.79 59.94°
Positions (direct):
Cs 0.000 0.000 0.000
Cs 0.000 0.500 0.000
Cs 0.500 0.000 0.000
Ac 0.000 0.500 0.500
Ac 0.500 0.000 0.500
Ac 0.500 0.500 0.500
Sc 0.000 0.000 0.500
Se 0.210 0.759 0.680
Se 0.211 0.211 0.680
Se 0.241 0.790 0.320
Se 0.267 0.267 0.301
Se 0.733 0.733 0.699
Se 0.759 0.210 0.680
Se 0.789 0.789 0.320
Se 0.790 0.241 0.320

Results
Crystal system: monoclinic
Uncorrected formation energy (meV/atom): -1648
Space-group type: C2/m
Calculated total energy (eV/cell): -73.82